[1]
This record from the Alexandria database describes PrSm2Ag after structural relaxation. The functional is PBE-GGA. Values from VASP.

Computed properties:
formation energy from the elements = 0.0936 eV/atom
SG = Fm-3m, No. 225
relative energy among the computed polymorphs = 20.2 kJ/mol of atoms

Quantum ESPRESSO input file:
```
&SYSTEM
  ibrav = 0, nat = 4, ntyp = 3
/
ATOMIC_SPECIES
Pr 140.91 Pr.upf
Sm 150.36 Sm.upf
Ag 107.87 Ag.upf
CELL_PARAMETERS angstrom
0.000 3.864 3.864
3.864 0.000 3.864
3.864 3.864 0.000
ATOMIC_POSITIONS angstrom
Pr 0.000 0.000 0.000
Sm 1.932 1.932 1.932
Sm 5.795 5.795 5.795
Ag 3.864 3.864 3.864
```


[2]
This record from the Alexandria database describes La2MnW after structural relaxation. The functional is PBE-GGA. Values from VASP.

Computed properties:
formation energy from the elements = 0.3183 eV/atom
SG = Pm, No. 6
relative energy among the computed polymorphs = 0.0 kJ/mol of atoms

Quantum ESPRESSO input file:
```
&SYSTEM
  ibrav = 0, nat = 4, ntyp = 3
/
ATOMIC_SPECIES
La 138.91 La.upf
Mn 54.94 Mn.upf
W 183.84 W.upf
CELL_PARAMETERS angstrom
3.172 0.000 0.000
0.000 3.172 0.000
-0.036 0.000 9.210
ATOMIC_POSITIONS angstrom
La 0.000 0.000 0.000
La 1.549 1.586 3.559
Mn 3.135 0.000 5.706
W 1.550 1.586 6.889
```


[3]
This record from the Alexandria database describes UPaN2 after structural relaxation. The functional is PBE-GGA. Values from VASP.

Computed properties:
formation energy from raw total energies = -1197 meV/atom
SG = R3m, No. 160

Quantum ESPRESSO input file:
```
&SYSTEM
  ibrav = 0, nat = 4, ntyp = 3
/
ATOMIC_SPECIES
U 238.03 U.upf
Pa 231.04 Pa.upf
N 14.01 N.upf
CELL_PARAMETERS angstrom
1.678 0.969 6.135
-1.678 0.969 6.135
0.000 -1.938 6.135
ATOMIC_POSITIONS angstrom
U 0.000 0.000 0.000
Pa 0.000 0.000 3.199
N 0.000 0.000 10.823
N 0.000 0.000 13.897
```


[4]
This record from the Alexandria database describes Cr3PdCl after structural relaxation. The functional is PBE-GGA. Values from VASP.

Computed properties:
formation energy from raw total energies = 1057 meV/atom
SG = Pm-3m, No. 221

Quantum ESPRESSO input file:
```
&SYSTEM
  ibrav = 0, nat = 5, ntyp = 3
/
ATOMIC_SPECIES
Cr 52.00 Cr.upf
Pd 106.42 Pd.upf
Cl 35.45 Cl.upf
CELL_PARAMETERS angstrom
4.973 0.000 0.000
0.000 4.973 0.000
0.000 0.000 4.973
ATOMIC_POSITIONS angstrom
Cr 0.000 0.000 2.486
Cr 0.000 2.486 0.000
Cr 2.486 0.000 0.000
Pd 0.000 0.000 0.000
Cl 2.486 2.486 2.486
```


[5]
This record from the Alexandria database describes CsTe3F after structural relaxation. The functional is PBE-GGA. Values from VASP.

Computed properties:
formation energy from raw total energies = -375 meV/atom
SG = Pm-3m, No. 221

Quantum ESPRESSO input file:
```
&SYSTEM
  ibrav = 0, nat = 5, ntyp = 3
/
ATOMIC_SPECIES
Cs 132.91 Cs.upf
Te 127.60 Te.upf
F 19.00 F.upf
CELL_PARAMETERS angstrom
5.255 0.000 0.000
0.000 5.255 0.000
0.000 0.000 5.255
ATOMIC_POSITIONS angstrom
Cs 0.000 0.000 0.000
Te 0.000 2.628 2.628
Te 2.628 0.000 2.628
Te 2.628 2.628 0.000
F 2.628 2.628 2.628
```


[6]
This record from the Alexandria database describes Np2Co3P4Rh after structural relaxation. The functional is PBE-GGA. Values from VASP.

Computed properties:
formation energy from the elements = -0.7746 eV/atom
SG = P-4m2, No. 115

Quantum ESPRESSO input file:
```
&SYSTEM
  ibrav = 0, nat = 10, ntyp = 4
/
ATOMIC_SPECIES
Np 237.00 Np.upf
Co 58.93 Co.upf
P 30.97 P.upf
Rh 102.91 Rh.upf
CELL_PARAMETERS angstrom
3.954 0.000 0.000
0.000 3.954 0.000
0.000 0.000 9.188
ATOMIC_POSITIONS angstrom
Np 0.000 1.977 2.202
Np 1.977 0.000 6.986
Co 0.000 1.977 8.178
Co 1.977 0.000 1.011
Co 1.977 1.977 4.594
P 0.000 0.000 0.000
P 0.000 1.977 5.937
P 1.977 0.000 3.251
P 1.977 1.977 0.000
Rh 0.000 0.000 4.594
```


[7]
This record from the Alexandria database describes BaAc2Pr after structural relaxation. The functional is PBE-GGA. Values from VASP.

Computed properties:
formation energy from the elements = 0.0531 eV/atom
SG = P4/mmm, No. 123
relative energy among the computed polymorphs = 0.0 kJ/mol of atoms

Quantum ESPRESSO input file:
```
&SYSTEM
  ibrav = 0, nat = 4, ntyp = 3
/
ATOMIC_SPECIES
Ba 137.33 Ba.upf
Ac 227.00 Ac.upf
Pr 140.91 Pr.upf
CELL_PARAMETERS angstrom
3.989 0.000 0.000
0.000 3.989 0.000
0.000 0.000 11.486
ATOMIC_POSITIONS angstrom
Ba 0.000 0.000 0.000
Ac 1.994 1.994 3.197
Ac 1.994 1.994 8.290
Pr 0.000 0.000 5.743
```


[8]
This record from the Alexandria database describes TmPH after structural relaxation. The functional is PBE-GGA. Values from VASP.

Computed properties:
SG = I4mm, No. 107
relative energy among the computed polymorphs = 37.9 kJ/mol of atoms

Quantum ESPRESSO input file:
```
&SYSTEM
  ibrav = 0, nat = 3, ntyp = 3
/
ATOMIC_SPECIES
Tm 168.93 Tm.upf
P 30.97 P.upf
H 1.01 H.upf
CELL_PARAMETERS angstrom
-1.928 1.928 3.355
1.928 -1.928 3.355
1.928 1.928 -3.355
ATOMIC_POSITIONS angstrom
Tm 0.000 0.000 0.000
P 0.000 0.000 2.831
H 0.000 0.000 4.441
```


no.,D(E_F) (states/eV/atom)
1,1.12
2,0.95
3,1.60
4,1.08
5,0.50
6,2.07
7,1.46
8,0.66